! Ag8Mo (PBE-GGA, optimized geometry); values from VASP
&SYSTEM
  ibrav = 0, nat = 9, ntyp = 2
/
ATOMIC_SPECIES
Ag 107.87 Ag.upf
Mo 95.94 Mo.upf
CELL_PARAMETERS angstrom
-4.4074 4.4074 2.0900
4.4074 -4.4074 2.0900
4.4074 4.4074 -2.0900
ATOMIC_POSITIONS crystal
Ag 0.0000 0.3329 0.3329
Ag 0.0000 0.6671 0.6671
Ag 0.3329 0.0000 0.3329
Ag 0.3339 0.3339 0.6677
Ag 0.3339 0.6661 0.0000
Ag 0.6661 0.3339 0.0000
Ag 0.6661 0.6661 0.3323
Ag 0.6671 0.0000 0.6671
Mo 0.0000 0.0000 0.0000
! E	-30.8	eV/cell